[1]
VASP calculation (PBE) on a geometry-optimized InCuAs2 structure.

a b c (Å): 5.1507 5.1507 5.1507
angles (deg): 130.63 130.63 72.41
Sites, in units of the cell vectors:
1 In 0.0000 0.0000 0.0000
2 Cu 0.7500 0.2500 0.5000
3 As 0.2500 0.7500 0.5000
4 As 0.5000 0.5000 0.0000

ΔH_f (0 K): 1.35 eV per formula unit
VASP energy: -3.696 eV per atom
density of states at the Fermi level: 0.453 states/eV/atom
space-group type: I-4m2, No. 119
crystal system: tetragonal

[2]
VASP calculation (PBE) on a geometry-optimized MnBi2PPb structure.

a b c (Å): 5.6572 5.6572 4.4498
angles (deg): 90.00 90.00 90.00
Sites, in units of the cell vectors:
1 Mn 0.0000 0.0000 0.0000
2 Bi 0.0000 0.5000 0.5000
3 Bi 0.5000 0.0000 0.5000
4 P 0.0000 0.0000 0.5000
5 Pb 0.5000 0.5000 0.0000

ΔH_f (0 K): 1.54 eV per formula unit
VASP energy: -4.902 eV per atom
density of states at the Fermi level: 0.601 states/eV/atom
space-group type: P4/mmm, No. 123
crystal system: tetragonal

> Among the records above, which one has the lowest density of states at the Fermi level?

InCuAs2

> Number 2 is which compound?

MnBi2PPb

> What is the density of states at the Fermi level in the first record?

0.453 states/eV/atom

> Number 1 is which compound?

InCuAs2